1.
Computed, not measured: Zr2TlHg at its PBEsol-relaxed geometry at the SCAN level of DFT.

abc: 3.1552 5.1962 5.1962
angles: 90.00 89.99 90.00
Sites, in units of the cell vectors:
Zr (0.8747, 0.0000, 0.8770)
Tl (0.3749, 0.5000, 0.8730)
Zr (0.8754, 0.5000, 0.3730)
Hg (0.3751, 0.0000, 0.3770)

Summary:
Fermi-level density of states (states/eV/atom): 0.504
Total DFT energy (no corrections) (hartree per atom): -1.8648

2.
Computed, not measured: ZrTl2Hg at its PBEsol-relaxed geometry at the SCAN level of DFT.

abc: 3.2392 3.2392 10.1723
angles: 90.00 90.00 115.21
Sites, in units of the cell vectors:
Tl (0.5000, 0.5000, 0.7380)
Tl (0.0000, 0.0000, 0.0043)
Hg (0.5000, 0.5000, 0.2639)
Zr (0.0000, 0.0000, 0.4938)

Summary:
Fermi-level density of states (states/eV/atom): 0.745
Total DFT energy (no corrections) (hartree per atom): -2.2366

3.
Computed, not measured: ZrTl2Hg at its PBEsol-relaxed geometry at the SCAN level of DFT.

abc: 3.6458 3.6458 6.9083
angles: 90.00 90.00 90.00
Sites, in units of the cell vectors:
Hg (0.5000, 0.5000, 0.5000)
Zr (0.5000, 0.5000, 0.0000)
Tl (0.0000, 0.0000, 0.2504)
Tl (0.0000, 0.0000, 0.7496)

Summary:
Fermi-level density of states (states/eV/atom): 0.631
Total DFT energy (no corrections) (hartree per atom): -2.2351

4.
Computed, not measured: Zr3TlHg at its PBEsol-relaxed geometry at the SCAN level of DFT.

abc: 5.2439 5.2439 5.2439
angles: 90.00 90.00 90.00
Sites, in units of the cell vectors:
Hg (0.5000, 0.5000, 0.5000)
Zr (0.0000, 0.5000, 0.0000)
Zr (0.0000, 0.0000, 0.5000)
Zr (0.5000, 0.0000, 0.0000)
Tl (0.0000, 0.0000, 0.0000)

Summary:
Fermi-level density of states (states/eV/atom): 0.754
Total DFT energy (no corrections) (hartree per atom): -1.6760

5.
Computed, not measured: TmHg at its PBEsol-relaxed geometry at the SCAN level of DFT.

abc: 3.6084 3.6084 3.6084
angles: 90.00 90.00 90.00
Sites, in units of the cell vectors:
Tm (0.5000, 0.5000, 0.5000)
Hg (0.0000, 0.0000, 0.0000)

Summary:
Fermi-level density of states (states/eV/atom): 0.586
Total DFT energy (no corrections) (hartree per atom): -2.2308

6.
Computed, not measured: YTmHg2 at its PBEsol-relaxed geometry at the SCAN level of DFT.

abc: 5.1415 5.1415 5.1415
angles: 60.00 60.00 60.00
Sites, in units of the cell vectors:
Tm (0.5000, 0.5000, 0.5000)
Y (0.0000, 0.0000, 0.0000)
Hg (0.7500, 0.7500, 0.7500)
Hg (0.2500, 0.2500, 0.2500)

Summary:
Fermi-level density of states (states/eV/atom): 0.545
Total DFT energy (no corrections) (hartree per atom): -2.0117